# 1
A relaxed structure of Ca3TaCl. Source: the Alexandria database, functional PBE.

Lattice parameters (Å, degrees): 5.3339 5.3339 5.3339 90.00 90.00 90.00
Last column: nearest neighbours and their distance in Å.
Space group Pm-3m (No. 221)
Inequivalent atoms, fractional coordinates:
Ca 0.0000 0.0000 0.5000  2 Cl 2.67
Ta 0.5000 0.5000 0.5000  12 Ca 3.77
Cl 0.0000 0.0000 0.0000  6 Ca 2.67

Output
The value obtained for the uncorrected formation energy is 183 meV/atom. The density of states at the Fermi level is 0.317 states/eV per atom. The energy comes out at -3.76 eV per atom. For the volume, the calculation gives 30.35 A^3/atom.

# 2
A relaxed structure of LiCu5Pd8. Source: the Alexandria database, functional PBE.

Lattice parameters (Å, degrees): 7.2720 7.2720 7.7677 90.00 90.00 90.00
Last column: nearest neighbours and their distance in Å.
Space group I-4 (No. 82)
Inequivalent atoms, fractional coordinates:
Li 0.0000 0.0000 0.0000  4 Pd 2.37
Cu 0.0000 0.5000 0.2500  8 Pd 2.47-2.55
Cu 0.1147 0.7067 0.6717  8 Pd 2.54-2.69, 2 Cu 2.72
Pd 0.0701 0.8282 0.3467  5 Cu 2.55-2.69, 3 Pd 2.70-2.82
Pd 0.0884 0.6857 0.9976  1 Li 2.37, 3 Cu 2.47-2.57

Output
As for the energy relative to the elements: 0.002 eV per atom. The density of states at the Fermi level is 0.999 states/eV per atom. The energy comes out at -4.56 eV per atom. For the volume, the calculation gives 14.67 A^3/atom.

# 3
A relaxed structure of Nd7Bi2Ir2. Source: the Alexandria database, functional PBE.

Lattice parameters (Å, degrees): 8.8519 11.1314 7.3444 90.00 90.00 90.00
Last column: nearest neighbours and their distance in Å.
Space group Cmmm (No. 65)
Inequivalent atoms, fractional coordinates:
Nd 0.0000 0.0000 0.0000  2 Ir 3.09
Nd 0.0000 0.5000 0.2322  2 Ir 3.00, 2 Bi 3.35
Nd 0.2500 0.2500 0.2445  2 Ir 2.87
Bi 0.1939 0.0000 0.5000  6 Nd 3.35-3.39, 1 Bi 3.43
Ir 0.0000 0.2780 0.0000  7 Nd 2.87-3.09

Output
As for the energy relative to the elements: -0.508 eV per atom. The density of states at the Fermi level is 0.824 states/eV per atom. The energy comes out at -5.86 eV per atom. For the volume, the calculation gives 32.89 A^3/atom.

# 4
A relaxed structure of Th4Tl5. Source: the Alexandria database, functional PBE.

Lattice parameters (Å, degrees): 9.5014 9.5014 6.2101 90.00 90.00 90.00
Last column: nearest neighbours and their distance in Å.
Space group I4/m (No. 87)
Inequivalent atoms, fractional coordinates:
Th 0.0459 0.6633 0.0000  1 Th 3.22, 6 Tl 3.23-3.54
Tl 0.0000 0.0000 0.0000  4 Th 3.23
Tl 0.1123 0.7966 0.5000  2 Tl 3.12, 4 Th 3.27-3.41

Output
As for the energy relative to the elements: 0.049 eV per atom. The density of states at the Fermi level is 0.820 states/eV per atom. The energy comes out at -4.56 eV per atom. For the volume, the calculation gives 31.15 A^3/atom.

# 5
A relaxed structure of Pm2Sm6Tm3Tl. Source: the Alexandria database, functional PBE.

Lattice parameters (Å, degrees): 6.1553 10.6758 11.8010 90.00 100.03 90.00
Last column: nearest neighbours and their distance in Å.
Space group C2/m (No. 12)
Inequivalent atoms, fractional coordinates:
Pm 0.0000 0.1662 0.0000  3 Pm 3.55-3.56, 3 Tl 3.55-3.56, 6 Sm 3.59-3.60
Sm 0.2429 0.5000 0.7467  6 Sm 3.49-3.59, 3 Tm 3.52-3.55, 1 Tl 3.57, 2 Pm 3.60
Sm 0.2480 0.3363 0.2526  6 Sm 3.49-3.59, 3 Tm 3.52-3.55, 1 Tl 3.56, 2 Pm 3.59-3.60
Tm 0.0000 0.0000 0.5000  6 Sm 3.52-3.55, 6 Tm 3.56
Tm 0.0000 0.3330 0.5000  6 Sm 3.52-3.55, 6 Tm 3.55-3.57
Tl 0.0000 0.5000 0.0000  6 Pm 3.55-3.56, 6 Sm 3.56-3.57

Output
As for the energy relative to the elements: -0.024 eV per atom. The density of states at the Fermi level is 1.116 states/eV per atom. The energy comes out at -4.49 eV per atom. For the volume, the calculation gives 31.82 A^3/atom.

# 6
A relaxed structure of Mn2GaPtI. Source: the Alexandria database, functional PBE.

Lattice parameters (Å, degrees): 5.2373 5.2373 5.2594 90.00 90.00 90.00
Last column: nearest neighbours and their distance in Å.
Space group P4/mmm (No. 123)
Inequivalent atoms, fractional coordinates:
Mn 0.0000 0.5000 0.0000  2 I 2.62
Ga 0.0000 0.0000 0.5000  4 Pt 3.70, 8 Mn 3.71
Pt 0.5000 0.5000 0.5000  2 I 2.63
I 0.5000 0.5000 0.0000  4 Mn 2.62, 2 Pt 2.63

Output
The value obtained for the uncorrected formation energy is 1198 meV/atom. The density of states at the Fermi level is 0.599 states/eV per atom. The energy comes out at -4.59 eV per atom. For the volume, the calculation gives 28.85 A^3/atom.

# 7
A relaxed structure of La2Be3GaNi12. Source: the Alexandria database, functional PBE.

Lattice parameters (Å, degrees): 7.3430 7.3430 16.8895 90.00 90.00 120.00
Last column: nearest neighbours and their distance in Å.
Space group R-3m (No. 166, hexagonal axes)
Inequivalent atoms, fractional coordinates:
La 0.0000 0.0000 0.1101  6 Ni 2.65-2.71
Be 0.0000 0.5000 0.0000  6 Ni 2.08
Ga 0.0000 0.0000 0.5000  6 Ni 2.32
Ni 0.0120 0.5060 0.8769  1 Be 2.08, 1 Ga 2.32
Ni 0.0404 0.5202 0.3658  2 Be 2.08

Output
As for the energy relative to the elements: 0.141 eV per atom. The density of states at the Fermi level is 0.573 states/eV per atom. The energy comes out at -5.05 eV per atom. For the volume, the calculation gives 14.61 A^3/atom.

# 8
A relaxed structure of Mg2BiBr. Source: the Alexandria database, functional PBE.

Lattice parameters (Å, degrees): 14.6751 4.2112 7.2528 90.00 108.39 90.00
Last column: nearest neighbours and their distance in Å.
Space group C2/m (No. 12)
Inequivalent atoms, fractional coordinates:
Mg 0.0000 0.0000 0.0000  2 Br 2.88, 4 Bi 3.08
Mg 0.0000 0.0000 0.5000  2 Br 2.78
Mg 0.2458 0.0000 0.3057  3 Br 2.92-3.22, 3 Bi 3.01-3.02
Bi 0.0985 0.5000 0.3079  7 Mg 3.01-3.12
Br 0.1564 0.0000 0.8390  4 Mg 2.78-2.92

Output
The value obtained for the uncorrected formation energy is -583 meV/atom. The density of states at the Fermi level is 0.090 states/eV per atom. The energy comes out at -2.77 eV per atom. For the volume, the calculation gives 26.58 A^3/atom.

# 9
A relaxed structure of Sr2Cd2BiPd5. Source: the Alexandria database, functional PBE.

Lattice parameters (Å, degrees): 10.6157 10.6157 3.8944 90.00 90.00 90.00
Last column: nearest neighbours and their distance in Å.
Space group P4/mbm (No. 127)
Inequivalent atoms, fractional coordinates:
Sr 0.1745 0.3255 0.0000  3 Cd 3.03-3.21, 2 Pd 3.26
Cd 0.1239 0.6239 0.0000  6 Pd 2.69-2.77
Bi 0.0000 0.0000 0.0000  8 Pd 2.96
Pd 0.0000 0.5000 0.5000  4 Cd 2.69
Pd 0.0603 0.7985 0.5000  2 Cd 2.77, 2 Bi 2.96

Output
As for the energy relative to the elements: -0.464 eV per atom. The density of states at the Fermi level is 0.305 states/eV per atom. The energy comes out at -3.97 eV per atom. For the volume, the calculation gives 21.94 A^3/atom.

# 10
A relaxed structure of AlCd2P. Source: the Alexandria database, functional PBE.

Lattice parameters (Å, degrees): 3.5214 3.5278 13.2402 90.00 90.00 90.00
Last column: nearest neighbours and their distance in Å.
Space group Immm (No. 71)
Inequivalent atoms, fractional coordinates:
Al 0.0000 0.0000 0.0000  4 P 2.49
Cd 0.0000 0.5000 0.1852  2 P 3.02, 2 Al 3.02, 4 Cd 3.03
P 0.0000 0.0000 0.5000  4 Al 2.49

Output
As for the energy relative to the elements: 0.011 eV per atom. The density of states at the Fermi level is 0.282 states/eV per atom. The energy comes out at -2.73 eV per atom. For the volume, the calculation gives 20.56 A^3/atom.

# 11
A relaxed structure of Cs2Li2HoI6. Source: the Alexandria database, functional PBE.

Lattice parameters (Å, degrees): 14.4866 8.7035 8.8140 90.00 113.44 90.00
Last column: nearest neighbours and their distance in Å.
Space group C2/m (No. 12)
Inequivalent atoms, fractional coordinates:
Cs 0.2002 0.0000 0.1775  7 I 3.84-4.25
Li 0.0705 0.5000 0.2803  3 I 2.63-2.67
Ho 0.0000 0.0000 0.5000  6 I 3.10-3.11
I 0.0409 0.2452 0.7750  1 Li 2.67
I 0.2333 0.0000 0.6324  1 Li 2.63

Output
The value obtained for the uncorrected formation energy is -1225 meV/atom. The density of states at the Fermi level is 0.245 states/eV per atom. The energy comes out at -2.99 eV per atom. For the volume, the calculation gives 46.35 A^3/atom.

# 12
A relaxed structure of Li3Pr2Pd4. Source: the Alexandria database, functional PBE.

Lattice parameters (Å, degrees): 5.6558 15.2806 7.7604 90.00 90.00 90.00
Last column: nearest neighbours and their distance in Å.
Space group Cmce (No. 64)
Inequivalent atoms, fractional coordinates:
Li 0.0000 0.0000 0.0000  6 Pd 2.53-2.70
Li 0.2500 0.2182 0.2500  5 Pd 2.53-2.76, 2 Li 2.83
Pr 0.0000 0.1132 0.5855  8 Pd 3.02-3.33, 6 Li 3.20-3.38
Pd 0.0000 0.1762 0.9746  5 Li 2.64-2.76
Pd 0.2500 0.0524 0.2500  3 Li 2.53, 2 Pd 2.83

Output
As for the energy relative to the elements: -0.576 eV per atom. The density of states at the Fermi level is 0.385 states/eV per atom. The energy comes out at -4.58 eV per atom. For the volume, the calculation gives 18.63 A^3/atom.